Entry 1:
# Ce4Tm3PuS8

A relaxed structure of Ce4Tm3PuS8 (PBE-GGA, the Alexandria database).

Summary:
- calculated total energy (eV/atom) = -7.27
- energy relative to the elements, uncorrected (meV per atom) = -1988.1

CIF file:
```
data_Ce4Tm3PuS8
_chemical_formula_sum 'Ce12 Tm9 Pu3 S24'
_cell_length_a 7.8510
_cell_length_b 7.8510
_cell_length_c 19.5164
_cell_angle_alpha 90.00
_cell_angle_beta 90.00
_cell_angle_gamma 120.00
_symmetry_space_group_name_H-M 'R -3 m'
_symmetry_Int_Tables_number 166
_symmetry_space_group_name_Hall '-R 3 2"'
loop_
_atom_site_label
_atom_site_type_symbol
_atom_site_fract_x
_atom_site_fract_y
_atom_site_fract_z
Ce1 Ce 0.0000 0.0000 0.0000
Ce2 Ce 0.0000 0.5000 0.0000
Tm1 Tm 0.0000 0.5000 0.5000
Pu1 Pu 0.0000 0.0000 0.5000
S1 S 0.0000 0.0000 0.2443
S2 S 0.0049 0.5025 0.7546
```



Entry 2:
# CaHo3Pt2

A relaxed structure of CaHo3Pt2 (PBE-GGA, the Alexandria database).

Summary:
- calculated total energy (eV/atom) = -5.56
- E_form (kJ/mol of formula units) = -533

CIF file:
```
data_CaHo3Pt2
_chemical_formula_sum 'Ca2 Ho6 Pt4'
_cell_length_a 4.737
_cell_length_b 8.772
_cell_length_c 7.259
_cell_angle_alpha 90.00
_cell_angle_beta 90.00
_cell_angle_gamma 90.00
_symmetry_space_group_name_H-M 'P m c 21'
_symmetry_Int_Tables_number 26
_symmetry_space_group_name_Hall 'P 2c -2'
loop_
_atom_site_label
_atom_site_type_symbol
_atom_site_fract_x
_atom_site_fract_y
_atom_site_fract_z
Ca1 Ca 0.000 0.080 0.000
Ho1 Ho 0.000 0.330 0.630
Ho2 Ho 0.500 0.176 0.340
Ho3 Ho 0.500 0.421 0.972
Pt1 Pt 0.000 0.355 0.239
Pt2 Pt 0.500 0.161 0.731
```



Among the records above, which one has the highest calculated total energy?
CaHo3Pt2



calculated total energy of number 2 (CaHo3Pt2)?
-5.56 eV/atom